CeBeBRh6 after structural relaxation. Source: the Alexandria database, functional PBE-GGA.

Output
ΔH_f (0 K), eV/atom: -0.200
Symmetry: No. 74
DFT total energy, Ry/atom: -0.50834
Size of the total moment, μB per cell: 0.00

a b c (Å): 7.5798 7.5798 7.5798
angles (deg): 135.30 110.38 86.62
Closest atoms and distances in Å follow each position.
Atoms (fractional coordinates):
Ce: 0.4097 0.1597 0.2500  5 Rh 2.69-2.78
Ce: 0.5903 0.8403 0.7500  5 Rh 2.69-2.78
Be: 0.0000 0.0000 0.5000  6 Rh 2.26-2.47
Be: 0.0000 0.5000 0.0000  6 Rh 2.26-2.47
B: 0.0000 0.5000 0.5000  6 Rh 2.03-2.18
B: 0.5000 0.5000 0.0000  6 Rh 2.03-2.18
Rh: 0.1202 0.3799 0.2402  1 B 2.03
Rh: 0.1202 0.8800 0.7403  1 B 2.03
Rh: 0.1574 0.9074 0.2500  2 Be 2.26
Rh: 0.2773 0.5273 0.7500  2 B 2.18
Rh: 0.3604 0.1200 0.7402  1 B 2.03
Rh: 0.3604 0.6201 0.2403  1 B 2.03
Rh: 0.6396 0.3799 0.7597  1 B 2.03
Rh: 0.6396 0.8800 0.2598  1 B 2.03
Rh: 0.7227 0.4727 0.2500  2 B 2.18
Rh: 0.8426 0.0926 0.7500  2 Be 2.26
Rh: 0.8798 0.1200 0.2597  1 B 2.03
Rh: 0.8798 0.6201 0.7598  1 B 2.03

=====

Zn2Cd3 after structural relaxation. Source: the Alexandria database, functional PBE-GGA.

Output
ΔH_f (0 K), eV/atom: 0.123
Polymorph energy (0 for the lowest one), meV/atom: 39
Symmetry: No. 167
DFT total energy, Ry/atom: -0.06874
Size of the total moment, μB per cell: 0.00

a b c (Å): 7.5439 7.5439 7.5439
angles (deg): 47.36 47.36 47.36
Closest atoms and distances in Å follow each position.
Atoms (fractional coordinates):
Zn: 0.1888 0.1888 0.1888  1 Zn 2.45
Zn: 0.3112 0.3112 0.3112  1 Zn 2.45
Zn: 0.6888 0.6888 0.6888  1 Zn 2.45
Zn: 0.8112 0.8112 0.8112  1 Zn 2.45
Cd: 0.1884 0.7500 0.3116  4 Zn 2.77-2.93, 4 Cd 3.10
Cd: 0.2500 0.6884 0.8116  4 Zn 2.77-2.93, 4 Cd 3.10
Cd: 0.3116 0.1884 0.7500  4 Zn 2.77-2.93, 4 Cd 3.10
Cd: 0.6884 0.8116 0.2500  4 Zn 2.77-2.93, 4 Cd 3.10
Cd: 0.7500 0.3116 0.1884  4 Zn 2.77-2.93, 4 Cd 3.10
Cd: 0.8116 0.2500 0.6884  4 Zn 2.77-2.93, 4 Cd 3.10

=====

K8RbPb2 after structural relaxation. Source: the Alexandria database, functional PBE-GGA.

Output
ΔH_f (0 K), eV/atom: -0.040
Symmetry: No. 1
DFT total energy, Ry/atom: -0.11761
Size of the total moment, μB per cell: 0.50

a b c (Å): 7.6855 8.1155 10.8438
angles (deg): 74.48 69.89 89.73
Closest atoms and distances in Å follow each position.
Atoms (fractional coordinates):
K: 0.0000 0.0000 0.0000  2 Pb 3.69-3.70, 1 K 4.01
K: 0.0050 0.9614 0.4130  2 Pb 3.69-4.07
K: 0.0547 0.5605 0.7708  1 Pb 3.84, 2 K 4.06-4.12
K: 0.2230 0.4957 0.3843  2 Pb 3.63-3.76, 1 K 4.02
K: 0.4177 0.0521 0.5879  2 Pb 3.74-4.06
K: 0.5585 0.7982 0.9546  2 Pb 3.77-3.95, 1 Rb 3.90, 1 K 4.01
K: 0.6111 0.5289 0.6131  2 Pb 3.64-3.72, 2 K 4.06-4.07
K: 0.8178 0.4480 0.2364  1 Pb 3.83, 2 K 4.02-4.07
Rb: 0.4981 0.2356 0.0417  2 Pb 3.86-4.11, 2 K 3.90-4.23
Pb: 0.5736 0.8435 0.3049  6 K 3.63-3.95, 1 Rb 3.86
Pb: 0.8826 0.1727 0.6894  7 K 3.64-4.06

=====

TiHgAs2Br after structural relaxation. Source: the Alexandria database, functional PBE-GGA.

Output
Polymorph energy (0 for the lowest one), meV/atom: 978
Symmetry: No. 123
DFT total energy, Ry/atom: -0.21413
Formation energy (no corrections), eV per atom: 0.9204
Size of the total moment, μB per cell: 1.31

a b c (Å): 5.0997 5.0997 5.6917
angles (deg): 90.00 90.00 90.00
Closest atoms and distances in Å follow each position.
Atoms (fractional coordinates):
Ti: 0.0000 0.0000 0.0000  4 Br 3.61, 8 As 3.82
Hg: 0.5000 0.5000 0.5000  4 As 2.55, 2 Br 2.85
As: 0.0000 0.5000 0.5000  2 Hg 2.55
As: 0.5000 0.0000 0.5000  2 Hg 2.55
Br: 0.5000 0.5000 0.0000  2 Hg 2.85

=====

Ac2LaAs after structural relaxation. Source: the Alexandria database, functional PBE-GGA.

Output
ΔH_f (0 K), eV/atom: -0.539
Symmetry: No. 166
DFT total energy, Ry/atom: -0.36659
Size of the total moment, μB per cell: 0.00

a b c (Å): 4.2095 4.2095 31.1343
angles (deg): 90.00 90.00 120.00
Closest atoms and distances in Å follow each position.
Atoms (fractional coordinates):
Ac: 0.0000 0.0000 0.2291  3 As 3.11
Ac: 0.0000 0.0000 0.7709  3 As 3.11
Ac: 0.3333 0.6667 0.4376  3 As 3.11
Ac: 0.3333 0.6667 0.8957  3 As 3.11
Ac: 0.6667 0.3333 0.1043  3 As 3.11
Ac: 0.6667 0.3333 0.5624  3 As 3.11
La: 0.0000 0.0000 0.0000  6 Ac 4.06, 6 La 4.21
La: 0.3333 0.6667 0.6667  6 Ac 4.06, 6 La 4.21
La: 0.6667 0.3333 0.3333  6 Ac 4.06, 6 La 4.21
As: 0.0000 0.0000 0.5000  6 Ac 3.11
As: 0.3333 0.6667 0.1667  6 Ac 3.11
As: 0.6667 0.3333 0.8333  6 Ac 3.11

=====

Mg2MnBr after structural relaxation. Source: the Alexandria database, functional PBE-GGA.

Output
Polymorph energy (0 for the lowest one), meV/atom: 349
Symmetry: No. 139
DFT total energy, Ry/atom: -0.24123
Formation energy (no corrections), eV per atom: 0.2259
Size of the total moment, μB per cell: 8.10

a b c (Å): 4.2605 4.2605 9.5679
angles (deg): 90.00 90.00 90.00
Closest atoms and distances in Å follow each position.
Atoms (fractional coordinates):
Mg: 0.0000 0.5000 0.2500  4 Mg 3.01, 4 Mn 3.20, 4 Br 3.20
Mg: 0.0000 0.5000 0.7500  4 Mg 3.01, 4 Mn 3.20, 4 Br 3.20
Mg: 0.5000 0.0000 0.2500  4 Mg 3.01, 4 Mn 3.20, 4 Br 3.20
Mg: 0.5000 0.0000 0.7500  4 Mg 3.01, 4 Mn 3.20, 4 Br 3.20
Mn: 0.0000 0.0000 0.0000  4 Br 3.01, 8 Mg 3.20
Mn: 0.5000 0.5000 0.5000  4 Br 3.01, 8 Mg 3.20
Br: 0.0000 0.0000 0.5000  4 Mn 3.01, 8 Mg 3.20
Br: 0.5000 0.5000 0.0000  4 Mn 3.01, 8 Mg 3.20

=====

NbGe2Rh2 after structural relaxation. Source: the Alexandria database, functional PBE-GGA.

Output
ΔH_f (0 K), eV/atom: -0.257
Symmetry: No. 127
DFT total energy, Ry/atom: -0.51881
Size of the total moment, μB per cell: 0.00

a b c (Å): 7.3832 7.3832 2.8463
angles (deg): 90.00 90.00 90.00
Closest atoms and distances in Å follow each position.
Atoms (fractional coordinates):
Nb: 0.0000 0.0000 0.0000  2 Nb 2.85, 4 Rh 2.88, 8 Ge 3.10
Nb: 0.5000 0.5000 0.0000  2 Nb 2.85, 4 Rh 2.88, 8 Ge 3.10
Ge: 0.1643 0.3357 0.5000  6 Rh 2.54-2.63, 2 Ge 2.85
Ge: 0.3357 0.8357 0.5000  6 Rh 2.54-2.63, 2 Ge 2.85
Ge: 0.6643 0.1643 0.5000  6 Rh 2.54-2.63, 2 Ge 2.85
Ge: 0.8357 0.6643 0.5000  6 Rh 2.54-2.63, 2 Ge 2.85
Rh: 0.1337 0.6337 0.0000  6 Ge 2.54-2.63, 3 Rh 2.79-2.85
Rh: 0.3663 0.1337 0.0000  6 Ge 2.54-2.63, 3 Rh 2.79-2.85
Rh: 0.6337 0.8663 0.0000  6 Ge 2.54-2.63, 3 Rh 2.79-2.85
Rh: 0.8663 0.3663 0.0000  6 Ge 2.54-2.63, 3 Rh 2.79-2.85

=====

MnMoCl2 after structural relaxation. Source: the Alexandria database, functional PBE-GGA.

Output
Polymorph energy (0 for the lowest one), meV/atom: 585
Symmetry: No. 65
DFT total energy, Ry/atom: -0.41469
Formation energy (no corrections), eV per atom: 0.2813
Size of the total moment, μB per cell: 6.75

a b c (Å): 2.9827 5.6369 9.2874
angles (deg): 90.00 90.00 90.00
Closest atoms and distances in Å follow each position.
Atoms (fractional coordinates):
Mn: 0.0000 0.0000 0.0000  6 Mn 2.98-3.19, 4 Cl 3.07
Mn: 0.5000 0.5000 0.0000  6 Mn 2.98-3.19, 4 Cl 3.07
Mo: 0.0000 0.0000 0.5000  4 Cl 2.46
Mo: 0.5000 0.5000 0.5000  4 Cl 2.46
Cl: 0.0000 0.5000 0.2892  2 Mo 2.46
Cl: 0.0000 0.5000 0.7108  2 Mo 2.46
Cl: 0.5000 0.0000 0.2892  2 Mo 2.46
Cl: 0.5000 0.0000 0.7108  2 Mo 2.46

=====

PaCd2Pd8 after structural relaxation. Source: the Alexandria database, functional PBE-GGA.

Output
ΔH_f (0 K), eV/atom: -0.458
Polymorph energy (0 for the lowest one), meV/atom: 63
Symmetry: No. 12
DFT total energy, Ry/atom: -0.38688
Size of the total moment, μB per cell: 0.00

a b c (Å): 7.4729 7.4729 6.8398
angles (deg): 115.51 115.51 34.54
Closest atoms and distances in Å follow each position.
Atoms (fractional coordinates):
Pa: 0.0000 0.0000 0.0000  8 Pd 2.66-2.97
Cd: 0.3021 0.3021 0.3223  10 Pd 2.70-2.99
Cd: 0.6979 0.6979 0.6777  10 Pd 2.70-2.99
Pd: 0.1313 0.1313 0.4258  1 Pa 2.66, 3 Cd 2.70-2.83, 5 Pd 2.87-2.97
Pd: 0.1568 0.1568 0.8819  1 Pa 2.70, 3 Cd 2.78-2.82, 6 Pd 2.87-2.97
Pd: 0.3456 0.3456 0.8310  8 Pd 2.80-3.06, 2 Cd 2.91, 2 Pa 2.97
Pd: 0.4888 0.4888 0.2814  7 Pd 2.80-2.90, 2 Cd 2.80-2.99, 2 Pa 2.99
Pd: 0.5112 0.5112 0.7186  7 Pd 2.80-2.90, 2 Cd 2.80-2.99, 2 Pa 2.99
Pd: 0.6544 0.6544 0.1690  8 Pd 2.80-3.06, 2 Cd 2.91, 2 Pa 2.97
Pd: 0.8432 0.8432 0.1181  1 Pa 2.70, 3 Cd 2.78-2.82, 6 Pd 2.87-2.97
Pd: 0.8687 0.8687 0.5742  1 Pa 2.66, 3 Cd 2.70-2.83, 5 Pd 2.87-2.97

=====

ZrCrTc3 after structural relaxation. Source: the Alexandria database, functional PBE-GGA.

Output
ΔH_f (0 K), eV/atom: 2.333
Polymorph energy (0 for the lowest one), meV/atom: 1710
Symmetry: No. 221
DFT total energy, Ry/atom: -0.55275
Size of the total moment, μB per cell: 0.03

a b c (Å): 4.6774 4.6774 4.6774
angles (deg): 90.00 90.00 90.00
Closest atoms and distances in Å follow each position.
Atoms (fractional coordinates):
Zr: 0.0000 0.0000 0.0000  6 Tc 2.34
Cr: 0.5000 0.5000 0.5000  12 Tc 3.31
Tc: 0.0000 0.0000 0.5000  2 Zr 2.34
Tc: 0.0000 0.5000 0.0000  2 Zr 2.34
Tc: 0.5000 0.0000 0.0000  2 Zr 2.34

=====

BeMoPbSe2 after structural relaxation. Source: the Alexandria database, functional PBE-GGA.

Output
Symmetry: No. 123
DFT total energy, Ry/atom: -0.24309
Formation energy (no corrections), eV per atom: 1.7396
Size of the total moment, μB per cell: 3.61

a b c (Å): 5.4903 5.4903 5.4788
angles (deg): 90.00 90.00 90.00
Closest atoms and distances in Å follow each position.
Atoms (fractional coordinates):
Be: 0.0000 0.0000 0.0000  8 Se 3.88, 4 Mo 3.88
Mo: 0.5000 0.5000 0.0000  2 Pb 2.74
Pb: 0.5000 0.5000 0.5000  2 Mo 2.74, 4 Se 2.75
Se: 0.0000 0.5000 0.5000  2 Pb 2.75
Se: 0.5000 0.0000 0.5000  2 Pb 2.75

=====

MgRe2Br after structural relaxation. Source: the Alexandria database, functional PBE-GGA.

Output
Polymorph energy (0 for the lowest one), meV/atom: 841
Symmetry: No. 119
DFT total energy, Ry/atom: -0.44426
Formation energy (no corrections), eV per atom: 0.9964
Size of the total moment, μB per cell: 0.00

a b c (Å): 4.2911 4.2911 7.2252
angles (deg): 90.00 90.00 90.00
Closest atoms and distances in Å follow each position.
Atoms (fractional coordinates):
Mg: 0.0000 0.0000 0.0000  4 Br 2.80, 8 Re 2.80-3.03
Mg: 0.5000 0.5000 0.5000  4 Br 2.80, 8 Re 2.80-3.03
Re: 0.0000 0.0000 0.5000  4 Re 2.80, 4 Br 2.80, 4 Mg 3.03
Re: 0.0000 0.5000 0.7500  4 Mg 2.80, 4 Re 2.80, 4 Br 3.03
Re: 0.5000 0.0000 0.2500  4 Re 2.80, 4 Mg 2.80, 4 Br 3.03
Re: 0.5000 0.5000 0.0000  4 Br 2.80, 4 Re 2.80, 4 Mg 3.03
Br: 0.0000 0.5000 0.2500  8 Re 2.80-3.03, 4 Mg 2.80
Br: 0.5000 0.0000 0.7500  4 Mg 2.80, 8 Re 2.80-3.03